A plane-wave DFT calculation with PBEsol was carried out for Al2Cu2Ag after structural relaxation. Values from VASP.

```
&SYSTEM
  ibrav = 0, nat = 10, ntyp = 3
/
ATOMIC_SPECIES
Ag 107.87 Ag.upf
Cu 63.55 Cu.upf
Al 26.98 Al.upf
CELL_PARAMETERS angstrom
2.746 0.000 0.000
0.000 7.135 0.000
0.000 0.000 7.135
ATOMIC_POSITIONS angstrom
Ag 0.000 0.000 0.000
Ag 0.000 3.568 3.568
Cu 0.000 2.689 6.257
Cu 0.000 6.257 4.446
Cu 0.000 4.446 0.878
Cu 0.000 0.878 2.689
Al 1.373 1.238 4.806
Al 1.373 4.806 5.897
Al 1.373 5.897 2.329
Al 1.373 2.329 1.238
```

SG = P4/mbm
formation energy = -108.9 meV/atom
V = 14.0 A^3/atom



A plane-wave DFT calculation with PBEsol was carried out for Rb2Tl2Cl after structural relaxation. Values from VASP.

```
&SYSTEM
  ibrav = 0, nat = 5, ntyp = 3
/
ATOMIC_SPECIES
Tl 204.38 Tl.upf
Rb 85.47 Rb.upf
Cl 35.45 Cl.upf
CELL_PARAMETERS angstrom
4.260 0.000 0.000
0.000 4.260 0.000
-2.130 -2.130 10.163
ATOMIC_POSITIONS angstrom
Tl 0.000 2.130 5.082
Tl 2.130 0.000 5.082
Rb 0.000 0.000 8.347
Rb 2.130 2.130 1.816
Cl 0.000 0.000 0.000
```

SG = I4/mmm
formation energy from raw total energies = -0.721 eV per atom
V = 36.9 A^3/atom



A plane-wave DFT calculation with PBEsol was carried out for CaTeAs2 after structural relaxation. Values from VASP.

```
&SYSTEM
  ibrav = 0, nat = 4, ntyp = 3
/
ATOMIC_SPECIES
As 74.92 As.upf
Te 127.60 Te.upf
Ca 40.08 Ca.upf
CELL_PARAMETERS angstrom
4.200 0.000 0.000
0.000 4.200 0.000
-2.100 -2.100 5.156
ATOMIC_POSITIONS angstrom
As 0.000 0.000 0.000
As 2.100 0.000 2.578
Te 0.000 2.100 2.578
Ca 2.100 2.100 0.000
```

SG = I-4m2
formation energy from raw total energies = -0.360 eV per atom
V = 22.7 A^3/atom



A plane-wave DFT calculation with PBEsol was carried out for CsPH4N2O2 after structural relaxation. Values from VASP.

```
&SYSTEM
  ibrav = 0, nat = 40, ntyp = 5
/
ATOMIC_SPECIES
Cs 132.91 Cs.upf
H 1.01 H.upf
N 14.01 N.upf
O 16.00 O.upf
P 30.97 P.upf
CELL_PARAMETERS angstrom
5.485 0.000 0.000
0.000 5.485 0.000
0.000 0.000 15.468
ATOMIC_POSITIONS angstrom
Cs 3.461 3.461 0.000
Cs 2.024 2.024 7.734
Cs 4.766 0.719 11.601
Cs 0.719 4.766 3.867
H 1.554 1.499 1.762
H 3.931 3.986 9.496
H 1.244 4.297 13.363
H 4.241 1.188 5.629
H 1.188 4.241 9.838
H 4.297 1.244 2.105
H 1.499 1.554 13.705
H 3.986 3.931 5.972
H 0.644 2.650 0.926
H 4.841 2.835 8.660
H 0.093 3.386 12.527
H 5.392 2.099 4.793
H 2.099 5.392 10.675
H 3.386 0.093 2.941
H 2.650 0.644 14.542
H 2.835 4.841 6.808
N 0.684 1.657 1.217
N 4.801 3.828 8.951
N 1.085 3.426 12.818
N 4.400 2.059 5.084
N 2.059 4.400 10.384
N 3.426 1.085 2.650
N 1.657 0.684 14.251
N 3.828 4.801 6.517
O 0.747 4.647 0.669
O 4.738 0.838 8.403
O 3.580 3.490 12.270
O 1.905 1.995 4.536
O 1.995 1.905 10.932
O 3.490 3.580 3.198
O 4.647 0.747 14.799
O 0.838 4.738 7.065
P 0.501 0.501 0.000
P 4.984 4.984 7.734
P 2.242 3.243 11.601
P 3.243 2.242 3.867
```

E_tot = -234.79 eV per cell
SG = P4_32_12
V = 11.6 A^3/atom



A plane-wave DFT calculation with PBEsol was carried out for HfFe2Te2 after structural relaxation. Values from VASP.

```
&SYSTEM
  ibrav = 0, nat = 5, ntyp = 3
/
ATOMIC_SPECIES
Te 127.60 Te.upf
Hf 178.49 Hf.upf
Fe 55.84 Fe.upf
CELL_PARAMETERS angstrom
-0.397 -2.350 2.647
3.532 -0.083 0.456
-2.055 6.679 3.224
ATOMIC_POSITIONS angstrom
Te -0.377 4.222 3.691
Te 1.457 0.024 2.636
Hf 0.000 0.000 0.000
Fe 1.522 2.690 2.616
Fe -0.442 1.556 3.711
```

SG = I4/mmm
formation energy from raw total energies = 0.031 eV per atom
V = 18.5 A^3/atom



A plane-wave DFT calculation with PBEsol was carried out for Sc2V2O7 after structural relaxation. Values from VASP.

```
&SYSTEM
  ibrav = 0, nat = 11, ntyp = 3
/
ATOMIC_SPECIES
Sc 44.96 Sc.upf
V 50.94 V.upf
O 16.00 O.upf
CELL_PARAMETERS angstrom
-4.609 0.602 2.057
2.483 -1.324 4.644
0.778 5.260 -1.100
ATOMIC_POSITIONS angstrom
Sc -0.991 3.496 1.730
Sc -0.356 1.042 3.871
V 1.952 3.001 2.861
V -3.299 1.537 2.740
O 0.860 4.347 2.379
O 1.441 2.106 4.334
O -1.686 2.713 3.610
O 0.339 1.825 1.991
O 0.000 0.000 0.000
O -2.788 2.432 1.267
O -2.208 0.191 3.222
```

SG = C2/m
formation energy from raw total energies = -2.929 eV per atom
V = 12.6 A^3/atom



A plane-wave DFT calculation with PBEsol was carried out for Tc2Ir after structural relaxation. Values from VASP.

```
&SYSTEM
  ibrav = 0, nat = 6, ntyp = 2
/
ATOMIC_SPECIES
Ir 192.22 Ir.upf
Tc 98.00 Tc.upf
CELL_PARAMETERS angstrom
2.714 0.000 0.000
-1.357 4.927 0.000
0.000 -1.493 6.238
ATOMIC_POSITIONS angstrom
Ir 0.000 -0.912 5.013
Ir 1.357 4.346 1.224
Tc 1.357 0.596 3.270
Tc 0.000 1.742 5.367
Tc 1.357 1.692 0.871
Tc 0.000 2.838 2.968
```

SG = C2/m
formation energy = -225.4 meV/atom
V = 13.9 A^3/atom



A plane-wave DFT calculation with PBEsol was carried out for TlNiAg after structural relaxation. Values from VASP.

```
&SYSTEM
  ibrav = 0, nat = 3, ntyp = 3
/
ATOMIC_SPECIES
Ag 107.87 Ag.upf
Ni 58.69 Ni.upf
Tl 204.38 Tl.upf
CELL_PARAMETERS angstrom
-0.886 2.699 -3.317
-4.082 0.330 -1.516
-2.303 3.643 0.704
ATOMIC_POSITIONS angstrom
Ag 0.000 0.000 0.000
Ni -3.635 3.336 -2.064
Tl -1.818 1.668 -1.032
```

SG = F-43m
formation energy = 571.2 meV/atom
V = 19.6 A^3/atom



A plane-wave DFT calculation with PBEsol was carried out for YSb2AuC after structural relaxation. Values from VASP.

```
&SYSTEM
  ibrav = 0, nat = 5, ntyp = 4
/
ATOMIC_SPECIES
Y 88.91 Y.upf
Sb 121.76 Sb.upf
C 12.01 C.upf
Au 196.97 Au.upf
CELL_PARAMETERS angstrom
4.639 0.000 0.000
0.000 4.639 0.000
0.000 0.000 4.738
ATOMIC_POSITIONS angstrom
Y 0.000 0.000 2.369
Sb 0.000 2.320 0.000
Sb 2.320 0.000 0.000
C 0.000 0.000 0.000
Au 2.320 2.320 2.369
```

SG = P4/mmm
formation energy from raw total energies = 0.198 eV per atom
V = 20.4 A^3/atom



A plane-wave DFT calculation with PBEsol was carried out for TaNbTl3 after structural relaxation. Values from VASP.

```
&SYSTEM
  ibrav = 0, nat = 5, ntyp = 3
/
ATOMIC_SPECIES
Tl 204.38 Tl.upf
Nb 92.91 Nb.upf
Ta 180.95 Ta.upf
CELL_PARAMETERS angstrom
5.283 0.000 0.000
0.000 5.283 0.000
0.000 0.000 5.283
ATOMIC_POSITIONS angstrom
Tl 0.000 2.641 0.000
Tl 0.000 0.000 2.641
Tl 2.641 0.000 0.000
Nb 0.000 0.000 0.000
Ta 2.641 2.641 2.641
```

SG = Pm-3m
formation energy = 1673.4 meV/atom
V = 29.5 A^3/atom



A plane-wave DFT calculation with PBEsol was carried out for AsPb2Br after structural relaxation. Values from VASP.

```
&SYSTEM
  ibrav = 0, nat = 4, ntyp = 3
/
ATOMIC_SPECIES
Pb 207.20 Pb.upf
As 74.92 As.upf
Br 79.90 Br.upf
CELL_PARAMETERS angstrom
-2.134 3.977 2.676
1.160 0.671 5.073
2.978 4.052 1.497
ATOMIC_POSITIONS angstrom
Pb 0.000 0.000 0.000
Pb 1.503 6.525 6.934
As 1.002 4.350 4.622
Br 0.501 2.175 2.311
```

SG = F-43m
formation energy from raw total energies = 0.106 eV per atom
V = 25.5 A^3/atom



A plane-wave DFT calculation with PBEsol was carried out for Ba2MgAu after structural relaxation. Values from VASP.

```
&SYSTEM
  ibrav = 0, nat = 4, ntyp = 3
/
ATOMIC_SPECIES
Mg 24.30 Mg.upf
Au 196.97 Au.upf
Ba 137.33 Ba.upf
CELL_PARAMETERS angstrom
-1.684 -1.732 4.096
-2.488 -3.410 -2.465
6.186 -2.182 1.620
ATOMIC_POSITIONS angstrom
Mg 1.780 -4.083 -0.995
Au -0.168 -4.080 0.966
Ba 1.061 -0.834 0.083
Ba 3.055 -3.931 2.354
```

SG = Amm2
formation energy = -345.3 meV/atom
V = 36.6 A^3/atom



A plane-wave DFT calculation with PBEsol was carried out for BeAlW2 after structural relaxation. Values from VASP.

```
&SYSTEM
  ibrav = 0, nat = 4, ntyp = 3
/
ATOMIC_SPECIES
Be 9.01 Be.upf
Al 26.98 Al.upf
W 183.84 W.upf
CELL_PARAMETERS angstrom
-2.641 -1.235 -3.144
-3.542 -2.232 0.928
-3.856 1.832 -0.404
ATOMIC_POSITIONS angstrom
Be -2.510 -0.409 -0.655
Al -5.019 -0.818 -1.310
W 0.000 0.000 0.000
W -7.529 -1.227 -1.965
```

SG = F-43m
formation energy = 156.5 meV/atom
V = 13.9 A^3/atom



A plane-wave DFT calculation with PBEsol was carried out for AsRuRhBr2 after structural relaxation. Values from VASP.

```
&SYSTEM
  ibrav = 0, nat = 5, ntyp = 4
/
ATOMIC_SPECIES
Ru 101.07 Ru.upf
As 74.92 As.upf
Rh 102.91 Rh.upf
Br 79.90 Br.upf
CELL_PARAMETERS angstrom
4.551 0.000 0.000
0.000 4.995 0.000
0.000 0.000 4.995
ATOMIC_POSITIONS angstrom
Ru 0.000 0.000 0.000
As 2.275 0.000 0.000
Rh 2.275 2.498 2.498
Br 0.000 0.000 2.498
Br 0.000 2.498 0.000
```

SG = P4/mmm
formation energy from raw total energies = 0.997 eV per atom
V = 22.7 A^3/atom



A plane-wave DFT calculation with PBEsol was carried out for NaLi2Cd2 after structural relaxation. Values from VASP.

```
&SYSTEM
  ibrav = 0, nat = 10, ntyp = 3
/
ATOMIC_SPECIES
Na 22.99 Na.upf
Li 6.94 Li.upf
Cd 112.41 Cd.upf
CELL_PARAMETERS angstrom
3.031 0.000 0.000
0.000 8.301 0.000
0.000 0.000 8.301
ATOMIC_POSITIONS angstrom
Na 0.000 0.000 0.000
Na 0.000 4.151 4.151
Li 1.515 1.386 5.537
Li 1.515 5.537 6.915
Li 1.515 6.915 2.765
Li 1.515 2.765 1.386
Cd 0.000 3.090 7.240
Cd 0.000 7.240 5.211
Cd 0.000 5.211 1.061
Cd 0.000 1.061 3.090
```

SG = P4/mbm
formation energy = -140.3 meV/atom
V = 20.9 A^3/atom



A plane-wave DFT calculation with PBEsol was carried out for Ba2LaNbO6 after structural relaxation. Values from VASP.

```
&SYSTEM
  ibrav = 0, nat = 10, ntyp = 4
/
ATOMIC_SPECIES
Nb 92.91 Nb.upf
Ba 137.33 Ba.upf
O 16.00 O.upf
La 138.91 La.upf
CELL_PARAMETERS angstrom
6.137 0.000 0.000
3.068 5.315 0.000
3.068 1.772 5.011
ATOMIC_POSITIONS angstrom
Nb 6.137 3.543 2.505
Ba 9.205 5.315 3.758
Ba 3.068 1.772 1.253
O 4.719 4.362 1.348
O 4.719 2.724 3.663
O 7.555 4.362 1.348
O 6.137 5.181 3.663
O 7.555 2.724 3.663
O 6.137 1.906 1.348
La 0.000 0.000 0.000
```

SG = Fm-3m
formation energy from raw total energies = -2.963 eV per atom
V = 16.3 A^3/atom



A plane-wave DFT calculation with PBEsol was carried out for LiTa5 after structural relaxation. Values from VASP.

```
&SYSTEM
  ibrav = 0, nat = 6, ntyp = 2
/
ATOMIC_SPECIES
Li 6.94 Li.upf
Ta 180.95 Ta.upf
CELL_PARAMETERS angstrom
-1.985 1.745 -0.553
-1.833 -4.907 -2.315
-2.360 -0.553 6.724
ATOMIC_POSITIONS angstrom
Li -0.082 -0.070 0.072
Ta -3.553 -3.139 2.842
Ta -2.813 -0.743 1.156
Ta -3.249 -0.357 3.939
Ta -4.335 -2.856 -0.049
Ta -1.594 -2.171 -1.131
```

SG = Cm
formation energy = 338.2 meV/atom
V = 17.5 A^3/atom



A plane-wave DFT calculation with PBEsol was carried out for Cr2SiRh after structural relaxation. Values from VASP.

```
&SYSTEM
  ibrav = 0, nat = 4, ntyp = 3
/
ATOMIC_SPECIES
Cr 52.00 Cr.upf
Rh 102.91 Rh.upf
Si 28.09 Si.upf
CELL_PARAMETERS angstrom
2.641 0.000 0.000
0.000 3.837 0.000
0.000 0.000 4.754
ATOMIC_POSITIONS angstrom
Cr 0.000 0.000 3.417
Cr 0.000 0.000 1.337
Rh 1.321 1.919 0.000
Si 1.321 1.919 2.377
```

SG = Pmmm
formation energy from raw total energies = -0.273 eV per atom
V = 12.0 A^3/atom



A plane-wave DFT calculation with PBEsol was carried out for CsIn3H after structural relaxation. Values from VASP.

```
&SYSTEM
  ibrav = 0, nat = 5, ntyp = 3
/
ATOMIC_SPECIES
Cs 132.91 Cs.upf
H 1.01 H.upf
In 114.82 In.upf
CELL_PARAMETERS angstrom
5.132 0.000 0.000
0.000 5.132 0.000
0.000 0.000 5.132
ATOMIC_POSITIONS angstrom
Cs 2.566 2.566 2.566
H 0.000 0.000 0.000
In 0.000 2.566 0.000
In 0.000 0.000 2.566
In 2.566 0.000 0.000
```

E_tot = -11.41 eV per cell
SG = Pm-3m
V = 27.0 A^3/atom



A plane-wave DFT calculation with PBEsol was carried out for Sc2SnWBr after structural relaxation. Values from VASP.

```
&SYSTEM
  ibrav = 0, nat = 5, ntyp = 4
/
ATOMIC_SPECIES
Sc 44.96 Sc.upf
Br 79.90 Br.upf
Sn 118.71 Sn.upf
W 183.84 W.upf
CELL_PARAMETERS angstrom
5.387 0.000 0.000
0.000 5.387 0.000
0.000 0.000 5.397
ATOMIC_POSITIONS angstrom
Sc 0.000 2.693 0.000
Sc 2.693 0.000 0.000
Br 0.000 0.000 2.698
Sn 0.000 0.000 0.000
W 2.693 2.693 2.698
```

SG = P4/mmm
formation energy from raw total energies = 1.545 eV per atom
V = 31.3 A^3/atom



A plane-wave DFT calculation with PBEsol was carried out for HfBe2SiS after structural relaxation. Values from VASP.

```
&SYSTEM
  ibrav = 0, nat = 5, ntyp = 4
/
ATOMIC_SPECIES
Be 9.01 Be.upf
S 32.06 S.upf
Hf 178.49 Hf.upf
Si 28.09 Si.upf
CELL_PARAMETERS angstrom
4.675 0.000 0.000
0.000 4.738 0.000
0.000 0.000 4.738
ATOMIC_POSITIONS angstrom
Be 0.000 0.000 2.369
Be 0.000 2.369 0.000
S 2.338 0.000 0.000
Hf 0.000 0.000 0.000
Si 2.338 2.369 2.369
```

SG = P4/mmm
formation energy from raw total energies = 1.179 eV per atom
V = 21.0 A^3/atom



A plane-wave DFT calculation with PBEsol was carried out for FeNi2W after structural relaxation. Values from VASP.

```
&SYSTEM
  ibrav = 0, nat = 4, ntyp = 3
/
ATOMIC_SPECIES
Ni 58.69 Ni.upf
Fe 55.84 Fe.upf
W 183.84 W.upf
CELL_PARAMETERS angstrom
3.607 0.000 0.000
0.000 3.607 0.000
-1.804 -1.804 3.532
ATOMIC_POSITIONS angstrom
Ni 0.000 0.000 0.000
Ni 1.804 0.000 1.766
Fe 0.000 1.804 1.766
W 1.804 1.804 0.000
```

SG = I-4m2
formation energy = -35.1 meV/atom
V = 11.5 A^3/atom



A plane-wave DFT calculation with PBEsol was carried out for Te4Mo3WS4 after structural relaxation. Values from VASP.

```
&SYSTEM
  ibrav = 0, nat = 12, ntyp = 4
/
ATOMIC_SPECIES
Mo 95.94 Mo.upf
Te 127.60 Te.upf
S 32.06 S.upf
W 183.84 W.upf
CELL_PARAMETERS angstrom
3.303 0.000 0.000
-1.651 2.860 0.000
0.000 0.000 26.501
ATOMIC_POSITIONS angstrom
Mo 0.000 0.000 26.481
Mo 1.651 0.953 19.898
Mo 1.651 0.953 6.558
Te 0.000 0.000 18.014
Te 0.000 0.000 4.672
Te 0.000 0.000 21.785
Te 0.000 0.000 8.443
S 1.651 0.953 1.484
S 1.651 0.953 14.752
S 1.651 0.953 24.976
S 1.651 0.953 11.722
W 0.000 0.000 13.237
```

SG = P3m1
formation energy from raw total energies = -0.533 eV per atom
V = 20.9 A^3/atom



A plane-wave DFT calculation with PBEsol was carried out for LiMg2Be after structural relaxation. Values from VASP.

```
&SYSTEM
  ibrav = 0, nat = 4, ntyp = 3
/
ATOMIC_SPECIES
Be 9.01 Be.upf
Mg 24.30 Mg.upf
Li 6.94 Li.upf
CELL_PARAMETERS angstrom
3.208 0.000 0.000
0.000 4.492 0.000
-1.604 -2.246 4.545
ATOMIC_POSITIONS angstrom
Be 0.000 0.000 4.464
Mg 0.000 0.000 0.042
Mg 0.000 2.246 2.055
Li 1.604 0.000 2.531
```

SG = Imm2
formation energy = 169.7 meV/atom
V = 16.4 A^3/atom



A plane-wave DFT calculation with PBEsol was carried out for RbBaSr2 after structural relaxation. Values from VASP.

```
&SYSTEM
  ibrav = 0, nat = 4, ntyp = 3
/
ATOMIC_SPECIES
Sr 87.62 Sr.upf
Ba 137.33 Ba.upf
Rb 85.47 Rb.upf
CELL_PARAMETERS angstrom
6.973 0.000 0.000
3.486 6.039 0.000
3.486 2.013 5.693
ATOMIC_POSITIONS angstrom
Sr 3.486 2.013 1.423
Sr 10.459 6.039 4.270
Ba 6.973 4.026 2.847
Rb 0.000 0.000 0.000
```

SG = Fm-3m
formation energy = 148.1 meV/atom
V = 59.9 A^3/atom



A plane-wave DFT calculation with PBEsol was carried out for Be2AsPb after structural relaxation. Values from VASP.

```
&SYSTEM
  ibrav = 0, nat = 4, ntyp = 3
/
ATOMIC_SPECIES
Pb 207.20 Pb.upf
Be 9.01 Be.upf
As 74.92 As.upf
CELL_PARAMETERS angstrom
-0.544 -1.134 3.339
1.794 -3.152 -0.778
4.421 2.158 1.454
ATOMIC_POSITIONS angstrom
Pb 0.625 -2.143 1.280
Be 0.000 0.000 0.000
Be 3.108 -0.497 0.338
As 1.939 0.512 2.396
```

SG = Pmmm
formation energy = 666.2 meV/atom
V = 17.0 A^3/atom